Density functional theory data (PBE-GGA) for a geometry-optimized Ce5Ge2Sb structure.

Magnetization ... 0.593 μB/atom
Space group ... Cmcm
DOS at the Fermi energy ... 3.010 states/eV/atom
Energy relative to the elements, uncorrected ... -546.9 meV per atom
Volume ... 27.7 A^3/atom
Distance to the lowest polymorph of the same formula ... 1.02 eV/f.u.

Unit cell a=5.296 b=5.296 c=17.519 alpha=90.00 beta=90.00 gamma=115.47
Atoms (fractional coordinates):
Ce 0.095 0.905 0.576
Ce 0.095 0.905 0.924
Ce 0.213 0.787 0.250
Ce 0.397 0.603 0.594
Ce 0.397 0.603 0.906
Ce 0.603 0.397 0.094
Ce 0.603 0.397 0.406
Ce 0.787 0.213 0.750
Ce 0.905 0.095 0.076
Ce 0.905 0.095 0.424
Ge 0.258 0.742 0.076
Ge 0.258 0.742 0.424
Ge 0.742 0.258 0.576
Ge 0.742 0.258 0.924
Sb 0.145 0.855 0.750
Sb 0.855 0.145 0.250